Entry 1:
Computed, not measured: MnIn2AgIr at its PBEsol-relaxed geometry at the meta-GGA SCAN level of DFT.

For the formation enthalpy at 0 K, the calculation gives 0.486 eV per atom.

Structure (CIF):
```
data_MnIn2AgIr
_cell_length_a 4.992
_cell_length_b 4.992
_cell_length_c 5.132
_cell_angle_alpha 90.00
_cell_angle_beta 90.00
_cell_angle_gamma 90.00
_symmetry_space_group_name_H-M 'P 1'
_symmetry_Int_Tables_number 1
loop_
_symmetry_equiv_pos_as_xyz
'x,y,z'
loop_
_atom_site_label
_atom_site_type_symbol
_atom_site_fract_x
_atom_site_fract_y
_atom_site_fract_z
Ir1 Ir 0.000 0.000 0.000
Ag1 Ag 0.000 0.000 0.500
Mn1 Mn 0.500 0.500 0.500
In1 In 0.000 0.500 0.000
In2 In 0.500 0.000 0.000
```

---

Entry 2:
Computed, not measured: KInAg2 at its PBEsol-relaxed geometry at the meta-GGA SCAN level of DFT.

For the formation enthalpy at 0 K, the calculation gives 0.261 eV per atom.

Structure (CIF):
```
data_KInAg2
_cell_length_a 3.180
_cell_length_b 3.180
_cell_length_c 10.415
_cell_angle_alpha 81.22
_cell_angle_beta 81.22
_cell_angle_gamma 60.00
_symmetry_space_group_name_H-M 'P 1'
_symmetry_Int_Tables_number 1
loop_
_symmetry_equiv_pos_as_xyz
'x,y,z'
loop_
_atom_site_label
_atom_site_type_symbol
_atom_site_fract_x
_atom_site_fract_y
_atom_site_fract_z
Ag1 Ag 0.759 0.759 0.724
Ag2 Ag 0.241 0.241 0.276
K1 K 0.000 0.000 0.000
In1 In 0.500 0.500 0.500
```

---

Entry 3:
Computed, not measured: KIn3Ag at its PBEsol-relaxed geometry at the meta-GGA SCAN level of DFT.

For the formation enthalpy at 0 K, the calculation gives 0.081 eV per atom.

Structure (CIF):
```
data_KIn3Ag
_cell_length_a 5.361
_cell_length_b 5.361
_cell_length_c 5.361
_cell_angle_alpha 90.00
_cell_angle_beta 90.00
_cell_angle_gamma 90.00
_symmetry_space_group_name_H-M 'P 1'
_symmetry_Int_Tables_number 1
loop_
_symmetry_equiv_pos_as_xyz
'x,y,z'
loop_
_atom_site_label
_atom_site_type_symbol
_atom_site_fract_x
_atom_site_fract_y
_atom_site_fract_z
In1 In 0.500 0.000 0.000
In2 In 0.000 0.000 0.500
In3 In 0.000 0.500 0.000
K1 K 0.500 0.500 0.500
Ag1 Ag 0.000 0.000 0.000
```

---

Entry 4:
Computed, not measured: KInAg2 at its PBEsol-relaxed geometry at the meta-GGA SCAN level of DFT.

For the formation enthalpy at 0 K, the calculation gives -0.054 eV per atom.

Structure (CIF):
```
data_KInAg2
_cell_length_a 4.758
_cell_length_b 4.762
_cell_length_c 6.584
_cell_angle_alpha 110.91
_cell_angle_beta 90.00
_cell_angle_gamma 119.97
_symmetry_space_group_name_H-M 'P 1'
_symmetry_Int_Tables_number 1
loop_
_symmetry_equiv_pos_as_xyz
'x,y,z'
loop_
_atom_site_label
_atom_site_type_symbol
_atom_site_fract_x
_atom_site_fract_y
_atom_site_fract_z
Ag1 Ag 0.749 0.498 0.246
Ag2 Ag 0.067 0.134 0.199
In1 In 0.436 0.873 0.309
K1 K 0.248 0.496 0.746
```

---

Entry 5:
Computed, not measured: K2InAg at its PBEsol-relaxed geometry at the meta-GGA SCAN level of DFT.

For the formation enthalpy at 0 K, the calculation gives -0.060 eV per atom.

Structure (CIF):
```
data_K2InAg
_cell_length_a 4.781
_cell_length_b 4.799
_cell_length_c 8.548
_cell_angle_alpha 106.45
_cell_angle_beta 90.00
_cell_angle_gamma 119.87
_symmetry_space_group_name_H-M 'P 1'
_symmetry_Int_Tables_number 1
loop_
_symmetry_equiv_pos_as_xyz
'x,y,z'
loop_
_atom_site_label
_atom_site_type_symbol
_atom_site_fract_x
_atom_site_fract_y
_atom_site_fract_z
Ag1 Ag 0.541 0.082 0.626
In1 In 0.208 0.416 0.624
K1 K 0.782 0.565 0.347
K2 K 0.968 0.937 0.903
```

---

Entry 6:
Computed, not measured: KInAg at its PBEsol-relaxed geometry at the meta-GGA SCAN level of DFT.

For the formation enthalpy at 0 K, the calculation gives -0.039 eV per atom.

Structure (CIF):
```
data_KInAg
_cell_length_a 3.316
_cell_length_b 4.127
_cell_length_c 6.667
_cell_angle_alpha 108.03
_cell_angle_beta 104.40
_cell_angle_gamma 90.00
_symmetry_space_group_name_H-M 'P 1'
_symmetry_Int_Tables_number 1
loop_
_symmetry_equiv_pos_as_xyz
'x,y,z'
loop_
_atom_site_label
_atom_site_type_symbol
_atom_site_fract_x
_atom_site_fract_y
_atom_site_fract_z
In1 In 0.624 0.624 0.249
K1 K 0.334 0.334 0.669
Ag1 Ag 0.041 0.041 0.083
```

---

Entry 7:
Computed, not measured: K2InAg at its PBEsol-relaxed geometry at the meta-GGA SCAN level of DFT.

For the formation enthalpy at 0 K, the calculation gives -0.048 eV per atom.

Structure (CIF):
```
data_K2InAg
_cell_length_a 4.756
_cell_length_b 5.048
_cell_length_c 6.698
_cell_angle_alpha 112.14
_cell_angle_beta 90.00
_cell_angle_gamma 90.00
_symmetry_space_group_name_H-M 'P 1'
_symmetry_Int_Tables_number 1
loop_
_symmetry_equiv_pos_as_xyz
'x,y,z'
loop_
_atom_site_label
_atom_site_type_symbol
_atom_site_fract_x
_atom_site_fract_y
_atom_site_fract_z
K1 K 0.500 0.402 0.804
K2 K 0.000 0.101 0.203
Ag1 Ag 0.000 0.804 0.609
In1 In 0.500 0.699 0.399
```

---

Entry 8:
Computed, not measured: KInAg2 at its PBEsol-relaxed geometry at the meta-GGA SCAN level of DFT.

For the formation enthalpy at 0 K, the calculation gives 0.212 eV per atom.

Structure (CIF):
```
data_KInAg2
_cell_length_a 5.062
_cell_length_b 5.062
_cell_length_c 5.062
_cell_angle_alpha 60.00
_cell_angle_beta 60.00
_cell_angle_gamma 60.00
_symmetry_space_group_name_H-M 'P 1'
_symmetry_Int_Tables_number 1
loop_
_symmetry_equiv_pos_as_xyz
'x,y,z'
loop_
_atom_site_label
_atom_site_type_symbol
_atom_site_fract_x
_atom_site_fract_y
_atom_site_fract_z
Ag1 Ag 0.000 0.000 0.000
Ag2 Ag 0.750 0.750 0.750
In1 In 0.500 0.500 0.500
K1 K 0.250 0.250 0.250
```

---

Entry 9:
Computed, not measured: KIn2Ag2 at its PBEsol-relaxed geometry at the meta-GGA SCAN level of DFT.

As for the energy above the most stable polymorph in this dataset: 31 meV per atom. For the formation enthalpy at 0 K, the calculation gives -0.059 eV per atom.

Structure (CIF):
```
data_KIn2Ag2
_cell_length_a 2.918
_cell_length_b 8.786
_cell_length_c 8.786
_cell_angle_alpha 90.00
_cell_angle_beta 90.00
_cell_angle_gamma 90.00
_symmetry_space_group_name_H-M 'P 1'
_symmetry_Int_Tables_number 1
loop_
_symmetry_equiv_pos_as_xyz
'x,y,z'
loop_
_atom_site_label
_atom_site_type_symbol
_atom_site_fract_x
_atom_site_fract_y
_atom_site_fract_z
In1 In 0.000 0.868 0.632
In2 In 0.000 0.632 0.132
In3 In 0.000 0.368 0.868
In4 In 0.000 0.132 0.368
Ag1 Ag 0.500 0.162 0.662
Ag2 Ag 0.500 0.338 0.162
Ag3 Ag 0.500 0.838 0.338
Ag4 Ag 0.500 0.662 0.838
K1 K 0.000 0.000 0.000
K2 K 0.000 0.500 0.500
```

---

Entry 10:
Computed, not measured: KInAg2 at its PBEsol-relaxed geometry at the meta-GGA SCAN level of DFT.

For the formation enthalpy at 0 K, the calculation gives 0.082 eV per atom.

Structure (CIF):
```
data_KInAg2
_cell_length_a 2.992
_cell_length_b 4.196
_cell_length_c 7.591
_cell_angle_alpha 90.00
_cell_angle_beta 90.04
_cell_angle_gamma 90.00
_symmetry_space_group_name_H-M 'P 1'
_symmetry_Int_Tables_number 1
loop_
_symmetry_equiv_pos_as_xyz
'x,y,z'
loop_
_atom_site_label
_atom_site_type_symbol
_atom_site_fract_x
_atom_site_fract_y
_atom_site_fract_z
Ag1 Ag 0.999 0.000 0.811
Ag2 Ag 0.001 0.000 0.189
In1 In 0.500 0.500 0.000
K1 K 0.500 0.500 0.500
```

---

Entry 11:
Computed, not measured: K2InAg at its PBEsol-relaxed geometry at the meta-GGA SCAN level of DFT.

For the formation enthalpy at 0 K, the calculation gives -0.036 eV per atom.

Structure (CIF):
```
data_K2InAg
_cell_length_a 4.186
_cell_length_b 5.874
_cell_length_c 6.687
_cell_angle_alpha 116.05
_cell_angle_beta 108.24
_cell_angle_gamma 90.00
_symmetry_space_group_name_H-M 'P 1'
_symmetry_Int_Tables_number 1
loop_
_symmetry_equiv_pos_as_xyz
'x,y,z'
loop_
_atom_site_label
_atom_site_type_symbol
_atom_site_fract_x
_atom_site_fract_y
_atom_site_fract_z
Ag1 Ag 0.545 0.545 0.089
K1 K 0.978 0.978 0.956
K2 K 0.781 0.281 0.563
In1 In 0.196 0.696 0.392
```

---

Entry 12:
Computed, not measured: K2InAg at its PBEsol-relaxed geometry at the meta-GGA SCAN level of DFT.

For the formation enthalpy at 0 K, the calculation gives -0.004 eV per atom.

Structure (CIF):
```
data_K2InAg
_cell_length_a 3.801
_cell_length_b 3.801
_cell_length_c 9.915
_cell_angle_alpha 90.00
_cell_angle_beta 90.00
_cell_angle_gamma 90.00
_symmetry_space_group_name_H-M 'P 1'
_symmetry_Int_Tables_number 1
loop_
_symmetry_equiv_pos_as_xyz
'x,y,z'
loop_
_atom_site_label
_atom_site_type_symbol
_atom_site_fract_x
_atom_site_fract_y
_atom_site_fract_z
In1 In 0.500 0.500 0.676
Ag1 Ag 0.000 0.000 0.574
K1 K 0.500 0.500 0.327
K2 K 0.000 0.000 0.924
```

---

Final energy
In order: -37.013; -25.851; -27.890; -26.167; -20.413; -24.400; -20.401; -25.900; -27.626; -26.030; -20.388; -20.357
Unit: eV per atom
Fermi-level density of states
In order: 1.965; 1.753; 2.437; 1.581; 2.315; 1.085; 2.357; 1.759; 1.607; 1.443; 2.092; 1.894
Unit: states/eV/f.u.